No. 1
20
Lattice="4.3114 -5.1622 0.0000 4.3114 5.1622 0.0000 -2.3538 0.0000 6.6098" Properties=species:S:1:pos:R:3 comment="KPrH6Au2 GGA-PBE optimized geometry" crystal_system=monoclinic magnetic_moment_mub_per_fu=0.00 total_energy_ev_per_atom=-3.520 pbc="T T T"
K 2.5461 3.4147 4.9574
K 3.7230 -3.4147 1.6525
Pr 3.7230 0.7990 1.6525
Pr 2.5461 -0.7990 4.9574
H 2.0477 2.5429 2.2132
H 1.7705 0.2284 0.0791
H 0.5936 -0.2284 3.3841
H 2.9047 1.0573 3.7917
H 2.1875 1.0573 6.1231
H 5.3983 2.5429 1.0917
H 0.8708 -2.5429 5.5181
H 4.0815 -1.0573 0.4867
H 3.3644 -1.0573 2.8182
H 5.6755 0.2284 3.2258
H 4.4986 -0.2284 6.5307
H 4.2214 -2.5429 4.3967
Au -0.3310 1.4414 5.5639
Au 0.8459 -1.4414 2.2590
Au 5.4232 1.4414 4.3508
Au 6.6001 -1.4414 1.0459

No. 2
12
Lattice="6.2140 0.0000 0.0000 -3.1070 5.3815 0.0000 0.0000 0.0000 7.8494" Properties=species:S:1:pos:R:3 comment="K3RbH6Au2 GGA-PBE optimized geometry" crystal_system=trigonal magnetic_moment_mub_per_fu=0.00 total_energy_ev_per_atom=-2.785 pbc="T T T"
K 0.0000 0.0000 0.0000
K 0.0000 3.5877 6.2211
K 3.1070 1.7938 1.6283
Rb 0.0000 0.0000 3.9247
H 0.0000 1.8616 1.8334
H -1.4948 4.4507 1.8334
H 1.6122 0.9308 6.0160
H 1.4948 4.4507 1.8334
H 4.6018 0.9308 6.0160
H 3.1070 3.5199 6.0160
Au 0.0000 3.5877 1.8325
Au 3.1070 1.7938 6.0169

No. 3
16
Lattice="7.8635 0.0000 0.0000 0.0000 7.8635 0.0000 0.0000 0.0000 7.8635" Properties=species:S:1:pos:R:3 comment="KRbHAu GGA-PBE optimized geometry" crystal_system=cubic magnetic_moment_mub_per_fu=0.00 total_energy_ev_per_atom=-2.293 pbc="T T T"
K 0.0000 0.0000 0.0000
K 0.0000 3.9317 3.9317
K 3.9317 0.0000 3.9317
K 3.9317 3.9317 0.0000
Rb 0.0000 0.0000 3.9317
Rb 0.0000 3.9317 0.0000
Rb 3.9317 0.0000 0.0000
Rb 3.9317 3.9317 3.9317
H 1.9659 1.9659 5.8976
H 1.9659 5.8976 1.9659
H 5.8976 1.9659 1.9659
H 5.8976 5.8976 5.8976
Au 1.9659 1.9659 1.9659
Au 1.9659 5.8976 5.8976
Au 5.8976 1.9659 5.8976
Au 5.8976 5.8976 1.9659